No. 1
## Ca3Ac3Ge4 (GGA-PBE)

Data for a geometry-optimized Ca3Ac3Ge4 structure.

The structure in CIF format:
```
data_Ca3Ac3Ge4
_cell_length_a 4.713
_cell_length_b 7.981
_cell_length_c 7.981
_cell_angle_alpha 90.01
_cell_angle_beta 90.00
_cell_angle_gamma 90.00
_symmetry_space_group_name_H-M 'P 1'
_symmetry_Int_Tables_number 1
_symmetry_space_group_name_Hall 'P 1'
loop_
_atom_site_label
_atom_site_fract_x
_atom_site_fract_y
_atom_site_fract_z
_atom_site_occupancy
Ca1 0.000 0.000 0.000 1
Ca2 0.500 0.171 0.681 1
Ca3 0.500 0.681 0.171 1
Ac1 0.000 0.348 0.348 1
Ac2 0.000 0.499 0.852 1
Ac3 0.000 0.852 0.499 1
Ge1 0.500 0.056 0.288 1
Ge2 0.500 0.288 0.056 1
Ge3 0.500 0.559 0.559 1
Ge4 0.500 0.794 0.794 1
```

## Properties
**Density**: 6.0 g cm⁻³
**Crystal system**: orthorhombic
**DFT total energy**: -4.359 eV/atom
**Energy relative to the elements**: -65.5 kJ/mol of atoms

No. 2
## KCaTmF6 (GGA-PBE)

Data for a geometry-optimized KCaTmF6 structure.

The structure in CIF format:
```
data_KCaTmF6
_cell_length_a 6.073
_cell_length_b 6.073
_cell_length_c 10.565
_cell_angle_alpha 90.00
_cell_angle_beta 90.00
_cell_angle_gamma 120.00
_symmetry_space_group_name_H-M 'P 1'
_symmetry_Int_Tables_number 1
_symmetry_space_group_name_Hall 'P 1'
loop_
_atom_site_label
_atom_site_fract_x
_atom_site_fract_y
_atom_site_fract_z
_atom_site_occupancy
K1 0.000 0.000 0.000 1
K2 0.000 0.000 0.500 1
Ca1 0.333 0.667 0.250 1
Ca2 0.667 0.333 0.750 1
Tm1 0.333 0.667 0.750 1
Tm2 0.667 0.333 0.250 1
F1 0.016 0.381 0.644 1
F2 0.016 0.635 0.856 1
F3 0.365 0.381 0.856 1
F4 0.365 0.984 0.644 1
F5 0.381 0.016 0.144 1
F6 0.381 0.365 0.356 1
F7 0.619 0.635 0.644 1
F8 0.619 0.984 0.856 1
F9 0.635 0.016 0.356 1
F10 0.635 0.619 0.144 1
F11 0.984 0.365 0.144 1
F12 0.984 0.619 0.356 1
```

## Properties
**Density**: 3.6 g cm⁻³
**Crystal system**: trigonal
**Uncorrected formation energy**: -3.773 eV per atom
**DFT total energy**: -5.861 eV/atom

No. 3
## Ca4SnHg2 (GGA-PBE)

Data for a geometry-optimized Ca4SnHg2 structure.

The structure in CIF format:
```
data_Ca4SnHg2
_cell_length_a 5.922
_cell_length_b 5.922
_cell_length_c 15.472
_cell_angle_alpha 90.00
_cell_angle_beta 90.00
_cell_angle_gamma 90.00
_symmetry_space_group_name_H-M 'P 1'
_symmetry_Int_Tables_number 1
_symmetry_space_group_name_Hall 'P 1'
loop_
_atom_site_label
_atom_site_fract_x
_atom_site_fract_y
_atom_site_fract_z
_atom_site_occupancy
Ca1 0.000 0.000 0.198 1
Ca2 0.000 0.000 0.802 1
Ca3 0.000 0.500 0.000 1
Ca4 0.000 0.500 0.500 1
Ca5 0.500 0.000 0.000 1
Ca6 0.500 0.000 0.500 1
Ca7 0.500 0.500 0.302 1
Ca8 0.500 0.500 0.698 1
Sn1 0.000 0.000 0.000 1
Sn2 0.500 0.500 0.500 1
Hg1 0.000 0.000 0.398 1
Hg2 0.000 0.000 0.602 1
Hg3 0.500 0.500 0.102 1
Hg4 0.500 0.500 0.898 1
```

## Properties
**Density**: 4.2 g cm⁻³
**Crystal system**: tetragonal
**DFT total energy**: -2.032 eV/atom
**Energy above the lowest structure with this stoichiometry**: 0.250 eV per atom
**Energy relative to the elements**: -22.2 kJ/mol of atoms

No. 4
## Ho8Tm2Mg (GGA-PBE)

Data for a geometry-optimized Ho8Tm2Mg structure.

The structure in CIF format:
```
data_Ho8Tm2Mg
_cell_length_a 9.868
_cell_length_b 9.868
_cell_length_c 5.570
_cell_angle_alpha 91.92
_cell_angle_beta 91.92
_cell_angle_gamma 40.22
_symmetry_space_group_name_H-M 'P 1'
_symmetry_Int_Tables_number 1
_symmetry_space_group_name_Hall 'P 1'
loop_
_atom_site_label
_atom_site_fract_x
_atom_site_fract_y
_atom_site_fract_z
_atom_site_occupancy
Ho1 0.049 0.049 0.235 1
Ho2 0.105 0.635 0.259 1
Ho3 0.319 0.319 0.765 1
Ho4 0.365 0.895 0.741 1
Ho5 0.635 0.105 0.259 1
Ho6 0.681 0.681 0.235 1
Ho7 0.895 0.365 0.741 1
Ho8 0.951 0.951 0.765 1
Tm1 0.218 0.218 0.255 1
Tm2 0.782 0.782 0.745 1
Mg1 0.500 0.500 0.000 1
```

## Properties
**Density**: 8.0 g cm⁻³
**Crystal system**: monoclinic
**DFT total energy**: -4.145 eV/atom
**Energy above the lowest structure with this stoichiometry**: 0.000 eV per atom
**Energy relative to the elements**: 13.7 kJ/mol of atoms

No. 5
## TmPu4Se6 (GGA-PBE)

Data for a geometry-optimized TmPu4Se6 structure.

The structure in CIF format:
```
data_TmPu4Se6
_cell_length_a 7.158
_cell_length_b 7.158
_cell_length_c 21.015
_cell_angle_alpha 90.00
_cell_angle_beta 90.00
_cell_angle_gamma 147.32
_symmetry_space_group_name_H-M 'P 1'
_symmetry_Int_Tables_number 1
_symmetry_space_group_name_Hall 'P 1'
loop_
_atom_site_label
_atom_site_fract_x
_atom_site_fract_y
_atom_site_fract_z
_atom_site_occupancy
Tm1 0.150 0.850 0.750 1
Tm2 0.850 0.150 0.250 1
Pu1 0.090 0.910 0.132 1
Pu2 0.090 0.910 0.368 1
Pu3 0.361 0.639 0.042 1
Pu4 0.361 0.639 0.458 1
Pu5 0.639 0.361 0.542 1
Pu6 0.639 0.361 0.958 1
Pu7 0.910 0.090 0.632 1
Pu8 0.910 0.090 0.868 1
Se1 0.000 0.000 0.000 1
Se2 0.000 0.000 0.500 1
Se3 0.203 0.797 0.250 1
Se4 0.275 0.725 0.586 1
Se5 0.275 0.725 0.914 1
Se6 0.446 0.554 0.169 1
Se7 0.446 0.554 0.331 1
Se8 0.554 0.446 0.669 1
Se9 0.554 0.446 0.831 1
Se10 0.725 0.275 0.086 1
Se11 0.725 0.275 0.414 1
Se12 0.797 0.203 0.750 1
```

## Properties
**Density**: 9.2 g cm⁻³
**Crystal system**: orthorhombic
**Uncorrected formation energy**: -1.550 eV per atom
**DFT total energy**: -9.068 eV/atom

No. 6
## Cd2MoP (GGA-PBE)

Data for a geometry-optimized Cd2MoP structure.

The structure in CIF format:
```
data_Cd2MoP
_cell_length_a 3.589
_cell_length_b 4.450
_cell_length_c 9.229
_cell_angle_alpha 90.00
_cell_angle_beta 90.00
_cell_angle_gamma 90.00
_symmetry_space_group_name_H-M 'P 1'
_symmetry_Int_Tables_number 1
_symmetry_space_group_name_Hall 'P 1'
loop_
_atom_site_label
_atom_site_fract_x
_atom_site_fract_y
_atom_site_fract_z
_atom_site_occupancy
Cd1 0.000 0.000 0.246 1
Cd2 0.000 0.000 0.754 1
Cd3 0.500 0.500 0.246 1
Cd4 0.500 0.500 0.754 1
Mo1 0.000 0.500 0.000 1
Mo2 0.500 0.000 0.000 1
P1 0.000 0.500 0.500 1
P2 0.500 0.000 0.500 1
```

## Properties
**Density**: 7.9 g cm⁻³
**Crystal system**: orthorhombic
**DFT total energy**: -3.998 eV/atom
**Energy relative to the elements**: 50.2 kJ/mol of atoms

No. 7
## Sr2Tb3Se6 (GGA-PBE)

Data for a geometry-optimized Sr2Tb3Se6 structure.

The structure in CIF format:
```
data_Sr2Tb3Se6
_cell_length_a 7.214
_cell_length_b 7.214
_cell_length_c 7.565
_cell_angle_alpha 99.12
_cell_angle_beta 99.12
_cell_angle_gamma 119.95
_symmetry_space_group_name_H-M 'P 1'
_symmetry_Int_Tables_number 1
_symmetry_space_group_name_Hall 'P 1'
loop_
_atom_site_label
_atom_site_fract_x
_atom_site_fract_y
_atom_site_fract_z
_atom_site_occupancy
Sr1 0.167 0.833 0.000 1
Sr2 0.833 0.167 0.000 1
Tb1 0.000 0.000 0.500 1
Tb2 0.335 0.665 0.500 1
Tb3 0.665 0.335 0.500 1
Se1 0.075 0.409 0.727 1
Se2 0.257 0.257 0.271 1
Se3 0.409 0.075 0.727 1
Se4 0.591 0.925 0.273 1
Se5 0.743 0.743 0.729 1
Se6 0.925 0.591 0.273 1
```

## Properties
**Density**: 5.8 g cm⁻³
**Crystal system**: monoclinic
**Uncorrected formation energy**: -1.949 eV per atom
**DFT total energy**: -5.418 eV/atom

No. 8
## HoVZn (GGA-PBE)

Data for a geometry-optimized HoVZn structure.

The structure in CIF format:
```
data_HoVZn
_cell_length_a 9.423
_cell_length_b 4.760
_cell_length_c 6.678
_cell_angle_alpha 90.00
_cell_angle_beta 127.41
_cell_angle_gamma 90.00
_symmetry_space_group_name_H-M 'P 1'
_symmetry_Int_Tables_number 1
_symmetry_space_group_name_Hall 'P 1'
loop_
_atom_site_label
_atom_site_fract_x
_atom_site_fract_y
_atom_site_fract_z
_atom_site_occupancy
Ho1 0.246 0.000 0.191 1
Ho2 0.254 0.500 0.809 1
Ho3 0.746 0.500 0.191 1
Ho4 0.754 0.000 0.809 1
V1 0.060 0.000 0.424 1
V2 0.440 0.500 0.576 1
V3 0.560 0.500 0.424 1
V4 0.940 0.000 0.576 1
Zn1 0.071 0.500 0.233 1
Zn2 0.429 0.000 0.767 1
Zn3 0.571 0.000 0.233 1
Zn4 0.929 0.500 0.767 1
```

## Properties
**Density**: 7.9 g cm⁻³
**Crystal system**: monoclinic
**DFT total energy**: -4.960 eV/atom
**Energy relative to the elements**: 2.9 kJ/mol of atoms

No. 9
## Tc3P (GGA-PBE)

Data for a geometry-optimized Tc3P structure.

The structure in CIF format:
```
data_Tc3P
_cell_length_a 8.312
_cell_length_b 8.312
_cell_length_c 2.847
_cell_angle_alpha 90.00
_cell_angle_beta 90.00
_cell_angle_gamma 120.00
_symmetry_space_group_name_H-M 'P 1'
_symmetry_Int_Tables_number 1
_symmetry_space_group_name_Hall 'P 1'
loop_
_atom_site_label
_atom_site_fract_x
_atom_site_fract_y
_atom_site_fract_z
_atom_site_occupancy
Tc1 0.000 0.500 0.000 1
Tc2 0.167 0.333 0.333 1
Tc3 0.167 0.833 0.333 1
Tc4 0.333 0.167 0.667 1
Tc5 0.500 0.000 0.000 1
Tc6 0.500 0.500 0.000 1
Tc7 0.667 0.833 0.333 1
Tc8 0.833 0.167 0.667 1
Tc9 0.833 0.667 0.667 1
P1 0.000 0.000 0.000 1
P2 0.333 0.667 0.667 1
P3 0.667 0.333 0.333 1
```

## Properties
**Density**: 9.5 g cm⁻³
**Crystal system**: trigonal
**DFT total energy**: -8.951 eV/atom
**Energy above the lowest structure with this stoichiometry**: 0.516 eV per atom
**Energy relative to the elements**: 17.0 kJ/mol of atoms

No. 10
## Tb3PrPb3 (GGA-PBE)

Data for a geometry-optimized Tb3PrPb3 structure.

The structure in CIF format:
```
data_Tb3PrPb3
_cell_length_a 9.391
_cell_length_b 9.391
_cell_length_c 5.562
_cell_angle_alpha 90.00
_cell_angle_beta 90.00
_cell_angle_gamma 120.00
_symmetry_space_group_name_H-M 'P 1'
_symmetry_Int_Tables_number 1
_symmetry_space_group_name_Hall 'P 1'
loop_
_atom_site_label
_atom_site_fract_x
_atom_site_fract_y
_atom_site_fract_z
_atom_site_occupancy
Tb1 0.005 0.768 0.250 1
Tb2 0.232 0.237 0.250 1
Tb3 0.237 0.005 0.750 1
Tb4 0.763 0.995 0.250 1
Tb5 0.768 0.763 0.750 1
Tb6 0.995 0.232 0.750 1
Pr1 0.333 0.667 0.250 1
Pr2 0.667 0.333 0.750 1
Pb1 0.076 0.627 0.750 1
Pb2 0.373 0.450 0.750 1
Pb3 0.450 0.076 0.250 1
Pb4 0.550 0.924 0.750 1
Pb5 0.627 0.550 0.250 1
Pb6 0.924 0.373 0.250 1
```

## Properties
**Density**: 9.7 g cm⁻³
**Crystal system**: hexagonal
**DFT total energy**: -4.640 eV/atom
**Energy relative to the elements**: -37.0 kJ/mol of atoms

No. 11
## Sm2Ge2O7 (GGA-PBE)

Data for a geometry-optimized Sm2Ge2O7 structure.

The structure in CIF format:
```
data_Sm2Ge2O7
_cell_length_a 6.991
_cell_length_b 6.991
_cell_length_c 12.758
_cell_angle_alpha 90.00
_cell_angle_beta 90.00
_cell_angle_gamma 90.00
_symmetry_space_group_name_H-M 'P 1'
_symmetry_Int_Tables_number 1
_symmetry_space_group_name_Hall 'P 1'
loop_
_atom_site_label
_atom_site_fract_x
_atom_site_fract_y
_atom_site_fract_z
_atom_site_occupancy
Sm1 0.122 0.348 0.116 1
Sm2 0.152 0.622 0.366 1
Sm3 0.348 0.122 0.884 1
Sm4 0.378 0.848 0.134 1
Sm5 0.622 0.152 0.634 1
Sm6 0.652 0.878 0.384 1
Sm7 0.848 0.378 0.866 1
Sm8 0.878 0.652 0.616 1
Ge1 0.098 0.155 0.628 1
Ge2 0.155 0.098 0.372 1
Ge3 0.345 0.598 0.878 1
Ge4 0.402 0.655 0.622 1
Ge5 0.598 0.345 0.122 1
Ge6 0.655 0.402 0.378 1
Ge7 0.845 0.902 0.872 1
Ge8 0.902 0.845 0.128 1
O1 0.025 0.076 0.876 1
O2 0.062 0.663 0.177 1
O3 0.076 0.025 0.124 1
O4 0.143 0.309 0.297 1
O5 0.163 0.438 0.927 1
O6 0.191 0.643 0.547 1
O7 0.197 0.197 0.500 1
O8 0.303 0.697 0.750 1
O9 0.309 0.143 0.703 1
O10 0.337 0.938 0.323 1
O11 0.357 0.809 0.953 1
O12 0.424 0.525 0.126 1
O13 0.438 0.163 0.073 1
O14 0.475 0.576 0.374 1
O15 0.525 0.424 0.874 1
O16 0.562 0.837 0.573 1
O17 0.576 0.475 0.626 1
O18 0.643 0.191 0.453 1
O19 0.663 0.062 0.823 1
O20 0.691 0.857 0.203 1
O21 0.697 0.303 0.250 1
O22 0.803 0.803 0.000 1
O23 0.809 0.357 0.047 1
O24 0.837 0.562 0.427 1
O25 0.857 0.691 0.797 1
O26 0.924 0.975 0.624 1
O27 0.938 0.337 0.677 1
O28 0.975 0.924 0.376 1
```

## Properties
**Density**: 5.9 g cm⁻³
**Crystal system**: tetragonal
**Uncorrected formation energy**: -2.569 eV per atom
**DFT total energy**: -7.421 eV/atom
**Energy above the lowest structure with this stoichiometry**: 0.000 eV per atom

No. 12
## InSiS2 (GGA-PBE)

Data for a geometry-optimized InSiS2 structure.

The structure in CIF format:
```
data_InSiS2
_cell_length_a 3.354
_cell_length_b 3.354
_cell_length_c 26.451
_cell_angle_alpha 90.00
_cell_angle_beta 90.00
_cell_angle_gamma 120.00
_symmetry_space_group_name_H-M 'P 1'
_symmetry_Int_Tables_number 1
_symmetry_space_group_name_Hall 'P 1'
loop_
_atom_site_label
_atom_site_fract_x
_atom_site_fract_y
_atom_site_fract_z
_atom_site_occupancy
In1 0.000 0.000 0.000 1
In2 0.333 0.667 0.667 1
In3 0.667 0.333 0.333 1
Si1 0.000 0.000 0.500 1
Si2 0.333 0.667 0.167 1
Si3 0.667 0.333 0.833 1
S1 0.000 0.000 0.117 1
S2 0.000 0.000 0.883 1
S3 0.333 0.667 0.550 1
S4 0.333 0.667 0.784 1
S5 0.667 0.333 0.216 1
S6 0.667 0.333 0.450 1
```

## Properties
**Density**: 4.0 g cm⁻³
**Crystal system**: trigonal
**Uncorrected formation energy**: -0.367 eV per atom
**DFT total energy**: -4.471 eV/atom

> The lowest DFT total energy belongs to which entry?

TmPu4Se6

> Among the records above, which one has the lowest DFT total energy?

TmPu4Se6

> What is the formula in the first record?

Ca3Ac3Ge4